[1]
Compound: KSrZrCo2
Source: the Alexandria database
Functional: GGA-PBE
Structure: optimized geometry

Output
- theoretical density (g cm⁻³) = 4.613
- energy of formation from the pure elements (meV/atom) = 1838.9

Unit cell a=4.856 b=4.856 c=5.127 alpha=90.00 beta=90.00 gamma=90.00
Fractional coordinates of all 5 atoms:
K1 0.000 0.000 0.000
Sr1 0.000 0.000 0.500
Zr1 0.500 0.500 0.000
Co1 0.000 0.500 0.500
Co2 0.500 0.000 0.500

---

[2]
Compound: LiNb2O4
Source: the Alexandria database
Functional: GGA-PBE
Structure: optimized geometry

Output
- E above lowest polymorph (meV per atom) = 0
- theoretical density (g cm⁻³) = 5.212
- formation energy (no corrections) (eV/atom) = -2.33

Unit cell a=5.162 b=10.686 c=2.966 alpha=90.00 beta=90.00 gamma=90.00
Fractional coordinates of all 14 atoms:
Li1 0.000 0.000 0.000
Li2 0.500 0.500 0.500
Nb1 0.145 0.257 0.500
Nb2 0.355 0.757 0.000
Nb3 0.645 0.243 0.000
Nb4 0.855 0.743 0.500
O1 0.170 0.871 0.500
O2 0.197 0.638 0.500
O3 0.303 0.138 0.000
O4 0.330 0.371 0.000
O5 0.670 0.629 0.000
O6 0.697 0.862 0.000
O7 0.803 0.362 0.500
O8 0.830 0.129 0.500

---

[3]
Compound: RbNaInCl6
Source: the Alexandria database
Functional: GGA-PBE
Structure: optimized geometry

Output
- theoretical density (g cm⁻³) = 2.319
- formation energy (no corrections) (eV/atom) = -1.24

Unit cell a=7.043 b=7.088 c=7.204 alpha=89.96 beta=89.91 gamma=60.25
Fractional coordinates of all 9 atoms:
Rb1 0.000 0.000 0.000
Na1 0.665 0.670 0.500
In1 0.334 0.331 0.500
Cl1 0.029 0.344 0.699
Cl2 0.036 0.620 0.297
Cl3 0.343 0.621 0.702
Cl4 0.349 0.032 0.295
Cl5 0.618 0.033 0.706
Cl6 0.627 0.343 0.301

---

[4]
Compound: ZrO
Source: the Alexandria database
Functional: GGA-PBE
Structure: optimized geometry

Output
- theoretical density (g cm⁻³) = 5.570
- formation energy (no corrections) (eV/atom) = -2.32

Unit cell a=6.163 b=6.111 c=5.066 alpha=66.15 beta=65.09 gamma=48.76
Fractional coordinates of all 8 atoms:
Zr1 0.122 0.628 0.122
Zr2 0.372 0.878 0.372
Zr3 0.628 0.122 0.628
Zr4 0.878 0.372 0.878
O1 0.003 0.003 0.747
O2 0.253 0.253 0.997
O3 0.747 0.747 0.003
O4 0.997 0.997 0.253